1.
PBE CaScAlHg, relaxed; crystal system = cubic; space-group type = No. 216; theoretical density = 5.6 g cm⁻³; formation enthalpy at 0 K = -0.329 eV/atom
1.0
5.094 0.000 0.000
2.547 4.412 0.000
2.547 1.471 4.159
Hg Al Sc Ca
1 1 1 1
direct
0.750 0.750 0.750
0.250 0.250 0.250
0.000 0.000 0.000
0.500 0.500 0.500

2.
PBE CaAl2SiHg, relaxed; ΔE_f (raw) = 1.27 eV per atom; crystal system = tetragonal; space-group type = No. 123; theoretical density = 3.1 g cm⁻³
1.0
-5.379 1.532 -0.148
0.062 -0.314 -5.508
-1.538 -5.371 0.289
Si Ca Al Hg
1 1 2 1
direct
0.500 0.500 0.500
0.000 0.000 0.000
0.500 0.000 0.000
0.000 0.000 0.500
0.000 0.500 0.000